Record 1
## SiTcPO2 (GGA-PBE)

Data for a relaxed SiTcPO2 crystal.

Summary:
Formation energy from raw total energies: -0.707 eV per atom
Calculated density: 4.10 g cm⁻³

Unit cell a=3.3199 b=3.3199 c=6.9499 alpha=90.00 beta=90.00 gamma=90.00
Fractional coordinates of all 5 atoms:
Si 0.0000 0.0000 0.0000
Tc 0.5000 0.5000 0.5000
P 0.0000 0.0000 0.5000
O 0.0000 0.5000 0.0000
O 0.5000 0.0000 0.0000

---

Record 2
## Sm4Dy3HoTe8 (GGA-PBE)

Data for a relaxed Sm4Dy3HoTe8 crystal.

Summary:
Formation energy from raw total energies: -1.325 eV per atom
Calculated density: 7.85 g cm⁻³

Unit cell a=8.8528 b=8.8528 c=8.8528 alpha=59.14 beta=59.14 gamma=59.14
Fractional coordinates of all 16 atoms:
Sm 0.0000 0.0000 0.0000
Sm 0.0000 0.5000 0.5000
Sm 0.5000 0.0000 0.5000
Sm 0.5000 0.5000 0.0000
Dy 0.0000 0.0000 0.5000
Dy 0.0000 0.5000 0.0000
Dy 0.5000 0.0000 0.0000
Ho 0.5000 0.5000 0.5000
Te 0.2473 0.2473 0.2473
Te 0.2479 0.7467 0.7467
Te 0.2533 0.2533 0.7521
Te 0.2533 0.7521 0.2533
Te 0.7467 0.2479 0.7467
Te 0.7467 0.7467 0.2479
Te 0.7521 0.2533 0.2533
Te 0.7527 0.7527 0.7527

---

Record 3
## Zr5Tc3H12 (GGA-PBE)

Data for a relaxed Zr5Tc3H12 crystal.

Summary:
Total energy: -464.16 eV per cell
Calculated density: 6.70 g cm⁻³

Unit cell a=9.9404 b=9.9404 c=9.9404 alpha=109.47 beta=109.47 gamma=109.47
Fractional coordinates of all 80 atoms:
Zr 0.0000 0.0000 0.0000
Zr 0.0000 0.0000 0.5000
Zr 0.0000 0.5000 0.0000
Zr 0.0000 0.5000 0.5000
Zr 0.1250 0.7500 0.8750
Zr 0.1250 0.8750 0.2500
Zr 0.2500 0.1250 0.8750
Zr 0.2500 0.6250 0.3750
Zr 0.3750 0.2500 0.6250
Zr 0.3750 0.6250 0.7500
Zr 0.5000 0.0000 0.0000
Zr 0.5000 0.0000 0.5000
Zr 0.5000 0.5000 0.0000
Zr 0.5000 0.5000 0.5000
Zr 0.6250 0.3750 0.2500
Zr 0.6250 0.7500 0.3750
Zr 0.7500 0.3750 0.6250
Zr 0.7500 0.8750 0.1250
Zr 0.8750 0.1250 0.7500
Zr 0.8750 0.2500 0.1250
Tc 0.1250 0.2500 0.3750
Tc 0.1250 0.3750 0.7500
Tc 0.2500 0.3750 0.1250
Tc 0.2500 0.8750 0.6250
Tc 0.3750 0.1250 0.2500
Tc 0.3750 0.7500 0.1250
Tc 0.6250 0.2500 0.8750
Tc 0.6250 0.8750 0.7500
Tc 0.7500 0.1250 0.3750
Tc 0.7500 0.6250 0.8750
Tc 0.8750 0.6250 0.2500
Tc 0.8750 0.7500 0.6250
H 0.0663 0.7364 0.6507
H 0.0663 0.8299 0.4155
H 0.0845 0.6701 0.4337
H 0.0845 0.9144 0.6507
H 0.0856 0.2364 0.1701
H 0.0856 0.3493 0.9155
H 0.1507 0.2364 0.5663
H 0.1507 0.4144 0.5845
H 0.1701 0.0856 0.2364
H 0.1701 0.5845 0.9337
H 0.2364 0.1701 0.0856
H 0.2364 0.5663 0.1507
H 0.2636 0.3493 0.9337
H 0.2636 0.4144 0.3299
H 0.3299 0.2636 0.4144
H 0.3299 0.5663 0.9155
H 0.3493 0.9155 0.0856
H 0.3493 0.9337 0.2636
H 0.4144 0.3299 0.2636
H 0.4144 0.5845 0.1507
H 0.4155 0.0663 0.8299
H 0.4155 0.8493 0.5856
H 0.4337 0.0845 0.6701
H 0.4337 0.8493 0.7636
H 0.5663 0.1507 0.2364
H 0.5663 0.9155 0.3299
H 0.5845 0.1507 0.4144
H 0.5845 0.9337 0.1701
H 0.5856 0.4155 0.8493
H 0.5856 0.6701 0.7364
H 0.6507 0.0663 0.7364
H 0.6507 0.0845 0.9144
H 0.6701 0.4337 0.0845
H 0.6701 0.7364 0.5856
H 0.7364 0.5856 0.6701
H 0.7364 0.6507 0.0663
H 0.7636 0.4337 0.8493
H 0.7636 0.8299 0.9144
H 0.8299 0.4155 0.0663
H 0.8299 0.9144 0.7636
H 0.8493 0.5856 0.4155
H 0.8493 0.7636 0.4337
H 0.9144 0.6507 0.0845
H 0.9144 0.7636 0.8299
H 0.9155 0.0856 0.3493
H 0.9155 0.3299 0.5663
H 0.9337 0.1701 0.5845
H 0.9337 0.2636 0.3493